No. 1
Density functional theory data (PBE with a Hubbard U) for a relaxed MgTlCrF6 crystal.

Results
- Calculated total energy: -5.360 eV/atom
- N(E_F): 0.0000 states/eV/atom
- Magnetization: 3.00 μB per formula unit
- Space group: Imma, No. 74

Cell lengths 7.3032, 7.3881, 7.3649 Å; angles 120.10, 119.72, 90.00 degrees
Closest atoms and distances in Å follow each position.
Positions (direct):
Mg  0.5000  0.0000  0.5000  6 F 1.98-2.02
Mg  0.0000  0.0000  0.5000  6 F 1.98-2.02
Tl  0.9181  0.6681  0.8362  1 F 2.71
Tl  0.0819  0.3319  0.1638  1 F 2.71
Cr  0.5000  0.5000  0.0000  6 F 1.93-1.97
Cr  0.5000  0.0000  0.0000  6 F 1.93-1.97
F  0.4343  0.6843  0.8686  2 Cr 1.97
F  0.8224  0.0724  0.6448  2 Mg 1.98
F  0.8133  0.0665  0.2427  1 Cr 1.93, 1 Mg 2.02
F  0.4294  0.6762  0.2427  1 Cr 1.93, 1 Mg 2.02
F  0.4294  0.0665  0.2427  1 Cr 1.93, 1 Mg 2.02
F  0.8133  0.6762  0.2427  1 Cr 1.93, 1 Mg 2.02
F  0.5657  0.3157  0.1314  2 Cr 1.97
F  0.1776  0.9276  0.3552  2 Mg 1.98
F  0.1867  0.9335  0.7573  1 Cr 1.93, 1 Mg 2.02
F  0.5706  0.3238  0.7573  1 Cr 1.93, 1 Mg 2.02
F  0.5706  0.9335  0.7573  1 Cr 1.93, 1 Mg 2.02
F  0.1867  0.3238  0.7573  1 Cr 1.93, 1 Mg 2.02

---

No. 2
Density functional theory data (PBE with a Hubbard U) for a relaxed YMgCrF2 crystal.

Results
- Calculated total energy: -5.058 eV/atom
- N(E_F): 0.2113 states/eV/atom
- Magnetization: 5.31 μB per formula unit
- Space group: P4/mmm, No. 123

Cell lengths 3.9812, 9.0865, 3.9812 Å; angles 90.00, 90.00, 90.00 degrees
Closest atoms and distances in Å follow each position.
Positions (direct):
Y  0.0000  0.5000  0.0000  4 Cr 2.82
Cr  0.5000  0.5000  0.5000  4 Y 2.82
Mg  0.0000  0.0000  0.0000  4 F 1.99
F  0.0000  0.0000  0.5000  2 Mg 1.99
F  0.5000  0.0000  0.0000  2 Mg 1.99

---

No. 3
Density functional theory data (PBE with a Hubbard U) for a relaxed MgZrCr2F crystal.

Results
- Calculated total energy: -5.297 eV/atom
- N(E_F): 0.5175 states/eV/atom
- Magnetization: 8.92 μB per formula unit
- Space group: P4/mmm, No. 123

Cell lengths 5.5918, 4.0892, 5.5918 Å; angles 90.00, 90.00, 90.00 degrees
Closest atoms and distances in Å follow each position.
Positions (direct):
Cr  0.0000  0.0000  0.5000  2 Zr 2.80
Cr  0.5000  0.0000  0.0000  2 Zr 2.80
Mg  0.5000  0.5000  0.5000  8 Cr 3.46
Zr  0.0000  0.0000  0.0000  2 F 2.04
F  0.0000  0.5000  0.0000  2 Zr 2.04

---

No. 4
Density functional theory data (PBE with a Hubbard U) for a relaxed MnCrF4 crystal.

Results
- Calculated total energy: -6.371 eV/atom
- N(E_F): 0.0000 states/eV/atom
- Magnetization: 9.00 μB per formula unit
- Space group: P2_1/c, No. 14

Cell lengths 4.8988, 6.1157, 5.8367 Å; angles 110.26, 90.00, 90.00 degrees
Closest atoms and distances in Å follow each position.
Positions (direct):
Mn  0.0000  0.5000  0.5000  6 F 2.11-2.19
Mn  0.5000  0.0000  0.5000  6 F 2.11-2.19
Cr  0.5000  0.5000  0.0000  4 F 2.01-2.09
Cr  0.0000  0.0000  0.0000  4 F 2.01-2.09
F  0.2945  0.8760  0.1624  1 Cr 2.01, 1 Mn 2.11
F  0.2055  0.3760  0.1624  1 Cr 2.01, 1 Mn 2.11
F  0.6890  0.6567  0.3387  1 Cr 2.09, 2 Mn 2.18-2.19
F  0.1890  0.8433  0.6613  1 Cr 2.09, 2 Mn 2.18-2.19
F  0.8110  0.1567  0.3387  1 Cr 2.09, 2 Mn 2.18-2.19
F  0.3110  0.3433  0.6613  1 Cr 2.09, 2 Mn 2.18-2.19
F  0.7945  0.6240  0.8376  1 Cr 2.01, 1 Mn 2.11
F  0.7055  0.1240  0.8376  1 Cr 2.01, 1 Mn 2.11

---

No. 5
Density functional theory data (PBE with a Hubbard U) for a relaxed Mn2CrF8 crystal.

Results
- Calculated total energy: -5.941 eV/atom
- N(E_F): 0.0741 states/eV/atom
- Magnetization: 12.00 μB per formula unit
- Space group: C2/m, No. 12

Cell lengths 4.9079, 5.4276, 5.4276 Å; angles 78.05, 101.92, 101.92 degrees
Closest atoms and distances in Å follow each position.
Positions (direct):
Mn  0.5517  0.3189  0.3189  5 F 1.97-2.17
Mn  0.4483  0.6811  0.6811  5 F 1.97-2.17
Cr  0.0000  0.0000  0.0000  6 F 1.93-1.97
F  0.7299  0.0473  0.6775  1 Cr 1.97, 1 Mn 2.17
F  0.2701  0.3225  0.9527  1 Cr 1.97, 1 Mn 2.17
F  0.7872  0.1622  0.1622  1 Cr 1.93, 1 Mn 1.97
F  0.2128  0.8378  0.8378  1 Cr 1.93, 1 Mn 1.97
F  0.7299  0.6775  0.0473  1 Cr 1.97, 1 Mn 2.17
F  0.2701  0.9527  0.3225  1 Cr 1.97, 1 Mn 2.17
F  0.2521  0.4369  0.4369  2 Mn 1.98-2.03
F  0.7479  0.5631  0.5631  2 Mn 1.98-2.03

---

No. 6
Density functional theory data (PBE with a Hubbard U) for a relaxed Mn4CrF10 crystal.

Results
- Calculated total energy: -6.333 eV/atom
- Magnetization: 16.00 μB per formula unit
- Space group: R-3m, No. 166

Cell lengths 3.7953, 3.7953, 14.6936 Å; angles 82.58, 82.58, 60.00 degrees
Closest atoms and distances in Å follow each position.
Positions (direct):
Mn  0.3989  0.3989  0.8033  8 F 2.14-2.32
Mn  0.7996  0.7996  0.6011  8 F 2.21-2.31
Mn  0.2004  0.2004  0.3989  8 F 2.21-2.31
Mn  0.6011  0.6011  0.1967  8 F 2.14-2.32
Cr  0.0000  0.0000  0.0000  8 F 2.10-2.31
F  0.9518  0.9518  0.1445  1 Cr 2.10, 3 Mn 2.32
F  0.1496  0.1496  0.5512  4 Mn 2.21-2.31
F  0.5503  0.5503  0.3490  4 Mn 2.21-2.31
F  0.3499  0.3499  0.9504  1 Mn 2.14, 3 Cr 2.31
F  0.7488  0.7488  0.7535  4 Mn 2.21-2.31
F  0.6501  0.6501  0.0496  1 Mn 2.14, 3 Cr 2.31
F  0.8504  0.8504  0.4488  4 Mn 2.21-2.31
F  0.2512  0.2512  0.2465  4 Mn 2.21-2.31
F  0.0482  0.0482  0.8555  1 Cr 2.10, 3 Mn 2.32
F  0.4497  0.4497  0.6510  4 Mn 2.21-2.31

---

No. 7
Density functional theory data (PBE with a Hubbard U) for a relaxed Mn2CrF crystal.

Results
- Calculated total energy: -6.056 eV/atom
- N(E_F): 0.4243 states/eV/atom
- Magnetization: 4.91 μB per formula unit
- Space group: Fm-3m, No. 225

Cell lengths 4.6390, 4.6390, 4.6390 Å; angles 60.00, 60.00, 60.00 degrees
Closest atoms and distances in Å follow each position.
Positions (direct):
Cr  0.5000  0.5000  0.5000  8 Mn 2.84
Mn  0.2500  0.2500  0.2500  4 Cr 2.84, 4 F 2.84
Mn  0.7500  0.7500  0.7500  4 Cr 2.84, 4 F 2.84
F  0.0000  0.0000  0.0000  8 Mn 2.84

---

No. 8
Density functional theory data (PBE with a Hubbard U) for a relaxed Mn2CrF8 crystal.

Results
- Calculated total energy: -5.910 eV/atom
- N(E_F): 0.1383 states/eV/atom
- Magnetization: 12.00 μB per formula unit
- Space group: P-3m1, No. 164

Cell lengths 4.0330, 6.3633, 6.3633 Å; angles 120.00, 90.00, 90.00 degrees
Closest atoms and distances in Å follow each position.
Positions (direct):
Cr  0.5000  0.0000  0.0000  6 F 1.96
Mn  0.7344  0.3333  0.6667  5 F 1.99-2.03
Mn  0.2656  0.6667  0.3333  5 F 1.99-2.03
F  0.7634  0.6667  0.3333  2 Mn 2.01-2.03
F  0.2366  0.3333  0.6667  2 Mn 2.01-2.03
F  0.2550  0.3064  0.1532  1 Cr 1.96, 1 Mn 1.99
F  0.7450  0.6936  0.8468  1 Cr 1.96, 1 Mn 1.99
F  0.7450  0.1532  0.8468  1 Cr 1.96, 1 Mn 1.99
F  0.2550  0.8468  0.1532  1 Cr 1.96, 1 Mn 1.99
F  0.2550  0.8468  0.6936  1 Cr 1.96, 1 Mn 1.99
F  0.7450  0.1532  0.3064  1 Cr 1.96, 1 Mn 1.99

---

No. 9
Density functional theory data (PBE with a Hubbard U) for a relaxed MnCr3F crystal.

Results
- Calculated total energy: -5.549 eV/atom
- N(E_F): 0.2809 states/eV/atom
- Magnetization: 9.76 μB per formula unit
- Space group: Pm-3m, No. 221

Cell lengths 4.9444, 4.9444, 4.9444 Å; angles 90.00, 90.00, 90.00 degrees
Closest atoms and distances in Å follow each position.
Positions (direct):
Cr  0.0000  0.5000  0.0000  2 Mn 2.47
Cr  0.0000  0.0000  0.5000  2 Mn 2.47
Cr  0.5000  0.0000  0.0000  2 Mn 2.47
Mn  0.0000  0.0000  0.0000  6 Cr 2.47
F  0.5000  0.5000  0.5000  12 Cr 3.50

---

No. 10
Density functional theory data (PBE with a Hubbard U) for a relaxed Mn2CrF crystal.

Results
- Calculated total energy: -5.931 eV/atom
- N(E_F): 0.0950 states/eV/atom
- Magnetization: 7.01 μB per formula unit
- Space group: I-42d, No. 122

Cell lengths 6.8286, 6.8286, 5.6911 Å; angles 53.13, 53.13, 90.00 degrees
Closest atoms and distances in Å follow each position.
Positions (direct):
Cr  0.0000  0.0000  0.0000  8 Mn 2.85-3.10, 2 F 3.01
Cr  0.7500  0.2500  0.5000  8 Mn 2.85-3.10, 2 F 3.01
Mn  0.5589  0.1250  0.2500  2 F 2.25
Mn  0.1911  0.6250  0.2500  2 F 2.25
Mn  0.3750  0.4411  0.7500  2 F 2.25
Mn  0.8750  0.8089  0.7500  2 F 2.25
F  0.5000  0.5000  0.0000  4 Mn 2.25
F  0.2500  0.7500  0.5000  4 Mn 2.25

---

No. 11
Density functional theory data (PBE with a Hubbard U) for a relaxed MnCr3F crystal.

Results
- Calculated total energy: -6.281 eV/atom
- N(E_F): 0.7665 states/eV/atom
- Magnetization: 8.89 μB per formula unit
- Space group: Pm-3m, No. 221

Cell lengths 4.5158, 4.5158, 4.5158 Å; angles 90.00, 90.00, 90.00 degrees
Closest atoms and distances in Å follow each position.
Positions (direct):
Cr  0.0000  0.5000  0.0000  2 F 2.26
Cr  0.0000  0.0000  0.5000  2 F 2.26
Cr  0.5000  0.0000  0.0000  2 F 2.26
Mn  0.5000  0.5000  0.5000  12 Cr 3.19
F  0.0000  0.0000  0.0000  6 Cr 2.26

---

No. 12
Density functional theory data (PBE with a Hubbard U) for a relaxed MnCr2F8 crystal.

Results
- Calculated total energy: -5.995 eV/atom
- Magnetization: 11.00 μB per formula unit
- Space group: C2/m, No. 12

Cell lengths 4.1103, 6.0261, 6.9875 Å; angles 125.45, 89.99, 90.73 degrees
Closest atoms and distances in Å follow each position.
Positions (direct):
Cr  0.2509  0.2471  0.6236  5 F 1.86-2.08
Cr  0.7491  0.7529  0.3764  5 F 1.86-2.08
Mn  0.0000  0.0000  0.0000  6 F 2.12-2.15
F  0.2503  0.8216  0.4109  3 Cr 2.08-2.09
F  0.7497  0.1784  0.5890  3 Cr 2.08-2.09
F  0.7576  0.7870  0.1227  1 Cr 1.90
F  0.2427  0.2122  0.3353  1 Cr 1.90
F  0.2534  0.6262  0.8129  1 Cr 1.86
F  0.2424  0.2130  0.8773  1 Cr 1.90
F  0.7573  0.7878  0.6647  1 Cr 1.90
F  0.7466  0.3738  0.1871  1 Cr 1.86